CaAcNd, relaxed, DFT PBE-GGA; symmetry = I4mm (107); magnetization = 0.0 μB/f.u.; V = 40.64 Å³/atom; energy above the lowest structure with this stoichiometry = 0.000 eV/atom; raw total energy = -10.79 eV per formula unit
1.0
-1.949 1.949 8.023
1.949 -1.949 8.023
1.949 1.949 -8.023
Ca Ac Nd
1 1 1
Direct
0.000 0.000 0.000 Ca
0.320 0.320 0.000 Ac
0.665 0.665 0.000 Nd


KY2Cu, relaxed, DFT PBE-GGA; symmetry = P4/mmm (123); magnetization = 0.0 μB/f.u.; V = 28.51 Å³/atom; energy above the lowest structure with this stoichiometry = 0.485 eV/atom; raw total energy = -15.71 eV per formula unit
1.0
5.139 0.000 0.000
0.000 5.139 0.000
0.000 0.000 4.318
K Y Cu
1 2 1
Direct
0.000 0.000 0.000 K
0.000 0.500 0.500 Y
0.500 0.000 0.500 Y
0.500 0.500 0.000 Cu


EuTmSiAg, relaxed, DFT PBE-GGA; symmetry = F-43m (216); magnetization = 7.2 μB/f.u.; V = 23.64 Å³/atom; uncorrected formation energy = -0.40 eV/atom; raw total energy = -24.62 eV per formula unit
1.0
0.000 3.616 3.616
3.616 0.000 3.616
3.616 3.616 0.000
Eu Tm Si Ag
1 1 1 1
Direct
0.000 0.000 0.000 Eu
0.500 0.500 0.500 Tm
0.750 0.750 0.750 Si
0.250 0.250 0.250 Ag


Ta3BRh, relaxed, DFT PBE-GGA; symmetry = Pm-3m (221); magnetization = 0.0 μB/f.u.; V = 21.47 Å³/atom; energy above the lowest structure with this stoichiometry = 1.987 eV/atom; raw total energy = -40.10 eV per formula unit
1.0
4.753 0.000 0.000
0.000 4.753 0.000
0.000 0.000 4.753
Ta B Rh
3 1 1
Direct
0.000 0.000 0.500 Ta
0.000 0.500 0.000 Ta
0.500 0.000 0.000 Ta
0.500 0.500 0.500 B
0.000 0.000 0.000 Rh